(1)
Density functional theory data (PBE-GGA) for a relaxed structure of Cr2TeP.

Output
Energy above the most stable polymorph in this dataset in meV/atom: 301
Symmetry: P4/mmm, No. 123
Formation energy (no corrections) in eV/f.u.: 0.72
Density in g/cm³: 7.30
N(E_F) in states/eV/cell: 3.42

Geometry as POSCAR:
```
Cr2TeP
1.0
3.063 0.000 0.000
0.000 3.063 0.000
0.000 0.000 6.362
Cr Te P
2 1 1
direct
0.000 0.000 0.181
0.000 0.000 0.819
0.500 0.500 0.500
0.500 0.500 0.000
```

(2)
Density functional theory data (PBE-GGA) for a relaxed structure of Cr2TeP.

Output
Energy above the most stable polymorph in this dataset in meV/atom: 362
Symmetry: Immm, No. 71
Formation energy (no corrections) in eV/f.u.: 0.96
Density in g/cm³: 6.49
N(E_F) in states/eV/cell: 7.75

Geometry as POSCAR:
```
Cr2TeP
1.0
3.564 0.000 0.000
0.000 5.236 0.000
0.000 0.000 7.194
Cr Te P
4 2 2
direct
0.000 0.000 0.197
0.000 0.000 0.803
0.500 0.500 0.303
0.500 0.500 0.697
0.000 0.500 0.000
0.500 0.000 0.500
0.000 0.500 0.500
0.500 0.000 0.000
```

(3)
Density functional theory data (PBE-GGA) for a relaxed structure of Cr2TeP.

Output
Energy above the most stable polymorph in this dataset in meV/atom: 413
Symmetry: Fm-3m, No. 225
Formation energy (no corrections) in eV/f.u.: 1.17
Density in g/cm³: 7.53
N(E_F) in states/eV/cell: 25.18

Geometry as POSCAR:
```
Cr2TeP
1.0
6.140 0.000 0.000
0.000 6.140 0.000
0.000 0.000 6.140
Cr Te P
8 4 4
direct
0.250 0.250 0.250
0.250 0.250 0.750
0.250 0.750 0.250
0.250 0.750 0.750
0.750 0.250 0.250
0.750 0.250 0.750
0.750 0.750 0.250
0.750 0.750 0.750
0.000 0.000 0.000
0.000 0.500 0.500
0.500 0.000 0.500
0.500 0.500 0.000
0.000 0.000 0.500
0.000 0.500 0.000
0.500 0.000 0.000
0.500 0.500 0.500
```

(4)
Density functional theory data (PBE-GGA) for a relaxed structure of Cr3TeP.

Output
Energy above the most stable polymorph in this dataset in meV/atom: 1639
Symmetry: Pm-3m, No. 221
Formation energy (no corrections) in eV/f.u.: 10.03
Density in g/cm³: 5.09
N(E_F) in states/eV/cell: 12.35

Geometry as POSCAR:
```
Cr3TeP
1.0
4.681 0.000 0.000
0.000 4.681 0.000
0.000 0.000 4.681
Cr Te P
3 1 1
direct
0.000 0.000 0.500
0.000 0.500 0.000
0.500 0.000 0.000
0.000 0.000 0.000
0.500 0.500 0.500
```

(5)
Density functional theory data (PBE-GGA) for a relaxed structure of Cr2TeP.

Output
Energy above the most stable polymorph in this dataset in meV/atom: 6
Symmetry: R-3m, No. 166
Formation energy (no corrections) in eV/f.u.: -0.46
Density in g/cm³: 6.30
N(E_F) in states/eV/cell: 7.77

Geometry as POSCAR:
```
Cr2TeP
1.0
3.630 0.000 0.000
-1.815 3.143 0.000
0.000 0.000 18.202
Cr Te P
6 3 3
direct
0.000 0.000 0.225
0.000 0.000 0.775
0.333 0.667 0.441
0.333 0.667 0.892
0.667 0.333 0.108
0.667 0.333 0.559
0.000 0.000 0.000
0.333 0.667 0.667
0.667 0.333 0.333
0.000 0.000 0.500
0.333 0.667 0.167
0.667 0.333 0.833
```

(6)
Density functional theory data (PBE-GGA) for a relaxed structure of Cr2TeP.

Output
Energy above the most stable polymorph in this dataset in meV/atom: 901
Symmetry: F-43m, No. 216
Formation energy (no corrections) in eV/f.u.: 3.12
Density in g/cm³: 6.05
N(E_F) in states/eV/cell: 11.44

Geometry as POSCAR:
```
Cr2TeP
1.0
6.606 0.000 0.000
0.000 6.606 0.000
0.000 0.000 6.606
Cr Te P
8 4 4
direct
0.000 0.000 0.000
0.000 0.500 0.500
0.250 0.250 0.250
0.250 0.750 0.750
0.500 0.000 0.500
0.500 0.500 0.000
0.750 0.250 0.750
0.750 0.750 0.250
0.250 0.250 0.750
0.250 0.750 0.250
0.750 0.250 0.250
0.750 0.750 0.750
0.000 0.000 0.500
0.000 0.500 0.000
0.500 0.000 0.000
0.500 0.500 0.500
```

(7)
Density functional theory data (PBE-GGA) for a relaxed structure of TlCrTeP2.

Output
Symmetry: P4/mmm, No. 123
Formation energy (no corrections) in eV/f.u.: 1.88
Density in g/cm³: 6.67
N(E_F) in states/eV/cell: 4.71

Geometry as POSCAR:
```
TlCrTeP2
1.0
4.391 0.000 0.000
0.000 4.391 0.000
0.000 0.000 5.760
Tl Cr Te P
1 1 1 2
direct
0.000 0.000 0.000
0.000 0.000 0.500
0.500 0.500 0.000
0.000 0.500 0.500
0.500 0.000 0.500
```

(8)
Density functional theory data (PBE-GGA) for a relaxed structure of ZrCrTe2P.

Output
Symmetry: P4/mmm, No. 123
Formation energy (no corrections) in eV/f.u.: 5.16
Density in g/cm³: 5.52
N(E_F) in states/eV/cell: 7.88

Geometry as POSCAR:
```
ZrCrTe2P
1.0
5.180 0.000 0.000
0.000 5.180 0.000
0.000 0.000 4.818
Zr Cr Te P
1 1 2 1
direct
0.000 0.000 0.000
0.500 0.500 0.000
0.000 0.500 0.500
0.500 0.000 0.500
0.000 0.000 0.500
```

(9)
Density functional theory data (PBE-GGA) for a relaxed structure of TiCrP.

Output
Symmetry: P4_2/m, No. 84
Formation energy in kJ per mole of atoms: -58.8
Density in g/cm³: 5.25
N(E_F) in states/eV/cell: 7.98

Geometry as POSCAR:
```
TiCrP
1.0
6.545 0.000 0.000
0.000 6.545 0.000
0.000 0.000 3.865
Ti Cr P
4 4 4
direct
0.058 0.729 0.000
0.271 0.058 0.500
0.729 0.942 0.500
0.942 0.271 0.000
0.337 0.413 0.000
0.413 0.663 0.500
0.587 0.337 0.500
0.663 0.587 0.000
0.162 0.426 0.500
0.426 0.838 0.000
0.574 0.162 0.000
0.838 0.574 0.500
```

(10)
Density functional theory data (PBE-GGA) for a relaxed structure of Ti3CrP.

Output
Energy above the most stable polymorph in this dataset in meV/atom: 0
Symmetry: Pm-3m, No. 221
Formation energy in kJ per mole of atoms: 23.2
Density in g/cm³: 4.20
N(E_F) in states/eV/cell: 5.99

Geometry as POSCAR:
```
Ti3CrP
1.0
4.473 0.000 0.000
0.000 4.473 0.000
0.000 0.000 4.473
Ti Cr P
3 1 1
direct
0.000 0.000 0.500
0.000 0.500 0.000
0.500 0.000 0.000
0.500 0.500 0.500
0.000 0.000 0.000
```

(11)
Density functional theory data (PBE-GGA) for a relaxed structure of TiCr2P2.

Output
Symmetry: P4/mbm, No. 127
Formation energy in kJ per mole of atoms: -47.7
Density in g/cm³: 5.62
N(E_F) in states/eV/cell: 10.18

Geometry as POSCAR:
```
TiCr2P2
1.0
6.616 0.000 0.000
0.000 6.616 0.000
0.000 0.000 2.885
Ti Cr P
2 4 4
direct
0.000 0.000 0.000
0.500 0.500 0.000
0.141 0.359 0.500
0.359 0.859 0.500
0.641 0.141 0.500
0.859 0.641 0.500
0.149 0.649 0.000
0.351 0.149 0.000
0.649 0.851 0.000
0.851 0.351 0.000
```

(12)
Density functional theory data (PBE-GGA) for a relaxed structure of TiCrP.

Output
Symmetry: P-62m, No. 189
Formation energy in kJ per mole of atoms: -92.7
Density in g/cm³: 5.66
N(E_F) in states/eV/cell: 5.15

Geometry as POSCAR:
```
TiCrP
1.0
6.407 0.000 0.000
-3.204 5.549 0.000
0.000 0.000 3.237
Ti Cr P
3 3 3
direct
0.000 0.595 0.000
0.405 0.405 0.000
0.595 0.000 0.000
0.000 0.254 0.500
0.254 0.000 0.500
0.746 0.746 0.500
0.000 0.000 0.000
0.333 0.667 0.500
0.667 0.333 0.500
```